Computed, not measured: an optimized crystal structure of Nd5Er6Sc2 at the PBE level of DFT.

a = 3.5919 Å, b = 11.2856 Å, c = 20.3776 Å
α = 90.00°, β = 90.00°, γ = 90.00°
Fractional positions:
Nd1 0.5000 0.4367 0.4234
Nd2 0.5000 0.6480 0.2775
Nd3 0.5000 0.9367 0.0766
Nd4 0.5000 0.1480 0.2225
Nd5 0.5000 0.3520 0.7225
Nd6 0.5000 0.0633 0.9234
Nd7 0.5000 0.5000 0.0000
Nd8 0.5000 0.0000 0.5000
Nd9 0.5000 0.5633 0.5766
Nd10 0.5000 0.8520 0.7775
Sc1 0.0000 0.6114 0.7140
Sc2 0.0000 0.8886 0.2140
Sc3 0.0000 0.3886 0.2860
Sc4 0.0000 0.1114 0.7860
Er1 0.0000 0.3332 0.8831
Er2 0.0000 0.7226 0.4438
Er3 0.5000 0.4202 0.1550
Er4 0.5000 0.0798 0.6550
Er5 0.0000 0.6668 0.1169
Er6 0.0000 0.1668 0.3831
Er7 0.0000 0.2774 0.5562
Er8 0.0000 0.7774 0.9438
Er9 0.0000 0.2226 0.0562
Er10 0.5000 0.9202 0.3450
Er11 0.0000 0.8332 0.6169
Er12 0.5000 0.5798 0.8450

**Crystal system**: orthorhombic
**ΔH_f (0 K)**: 59 meV/atom

---

Computed, not measured: an optimized crystal structure of Nd2Er6Sc3 at the PBE level of DFT.

a = 5.9630 Å, b = 5.9689 Å, c = 11.3932 Å
α = 84.95°, β = 79.85°, γ = 60.03°
Fractional positions:
Er1 0.2531 0.0000 0.2387
Er2 0.9205 0.6663 0.2381
Er3 0.4132 0.6663 0.7619
Er4 0.5868 0.3337 0.2381
Er5 0.0795 0.3337 0.7619
Er6 0.7469 0.0000 0.7613
Sc1 0.3346 0.3307 0.0000
Sc2 0.6654 0.6693 0.0000
Sc3 0.0000 0.0000 0.0000
Nd1 0.8334 0.3333 0.5000
Nd2 0.1666 0.6667 0.5000

**Crystal system**: monoclinic
**ΔH_f (0 K)**: 199 meV/atom

---

Computed, not measured: an optimized crystal structure of NdEr2Sc7 at the PBE level of DFT.

a = 5.0380 Å, b = 7.5017 Å, c = 9.3182 Å
α = 113.74°, β = 90.00°, γ = 90.00°
Fractional positions:
Sc1 0.5000 0.7050 0.8059
Sc2 0.5000 0.5000 0.0000
Sc3 0.0000 0.4072 0.8144
Sc4 0.5000 0.2950 0.1941
Sc5 0.5000 0.1009 0.8059
Sc6 0.0000 0.5928 0.1856
Sc7 0.5000 0.8991 0.1941
Nd1 0.0000 0.0000 0.0000
Er1 0.5000 0.7369 0.4737
Er2 0.5000 0.2631 0.5263

**Crystal system**: orthorhombic
**ΔH_f (0 K)**: 612 meV/atom

---

Computed, not measured: an optimized crystal structure of Nd3Er8Sc at the PBE level of DFT.

a = 8.3255 Å, b = 8.3255 Å, c = 8.3255 Å
α = 95.14°, β = 117.08°, γ = 117.08°
Fractional positions:
Er1 0.0000 0.2598 0.7943
Er2 0.7486 0.1123 0.1123
Er3 0.4656 0.2057 0.2057
Er4 0.0000 0.6362 0.8877
Er5 0.5344 0.7402 0.7402
Er6 0.0000 0.8877 0.6362
Er7 0.2514 0.3638 0.3638
Er8 0.0000 0.7943 0.2598
Nd1 0.5000 0.2500 0.7500
Nd2 0.5000 0.7500 0.2500
Nd3 0.0000 0.5000 0.5000
Sc1 0.0000 0.0000 0.0000

**Crystal system**: tetragonal
**ΔH_f (0 K)**: 601 meV/atom

---

Computed, not measured: an optimized crystal structure of NdEr4Sc at the PBE level of DFT.

a = 3.4074 Å, b = 5.8644 Å, c = 10.0092 Å
α = 85.75°, β = 80.20°, γ = 73.11°
Fractional positions:
Nd1 0.5000 0.5000 0.5000
Er1 0.1528 0.0305 0.6640
Er2 0.8472 0.9695 0.3360
Er3 0.6562 0.5378 0.1497
Er4 0.3438 0.4622 0.8503
Sc1 0.0000 0.0000 0.0000

**Crystal system**: monoclinic
**ΔH_f (0 K)**: 202 meV/atom
**Offset from the most stable computed form**: 181.1 meV per atom

---

Computed, not measured: an optimized crystal structure of Nd3Er5Sc at the PBE level of DFT.

a = 8.6356 Å, b = 8.6356 Å, c = 9.7929 Å
α = 116.16°, β = 116.16°, γ = 90.00°
Fractional positions:
Er1 0.0000 0.0000 0.0000
Er2 0.9338 0.4338 0.2805
Er3 0.6533 0.1533 0.7195
Er4 0.3467 0.8467 0.2805
Er5 0.5000 0.5000 0.0000
Er6 0.1533 0.0662 0.7195
Er7 0.0662 0.5662 0.7195
Er8 0.5662 0.6533 0.7195
Er9 0.8467 0.9338 0.2805
Er10 0.4338 0.3467 0.2805
Nd1 0.2500 0.2500 0.5000
Nd2 0.8813 0.6187 0.0000
Nd3 0.1187 0.3813 0.0000
Nd4 0.6187 0.1187 0.0000
Nd5 0.3813 0.8813 0.0000
Nd6 0.7500 0.7500 0.5000
Sc1 0.7500 0.2500 0.5000
Sc2 0.2500 0.7500 0.5000

**Crystal system**: tetragonal
**ΔH_f (0 K)**: 271 meV/atom